VCo3S | PBE | optimized geometry

Cell: 4.2508 4.2508 4.2508 Å, 90.00 90.00 90.00°
Closest atoms and distances in Å follow each position.
Fractional positions:
V: 0.0000 0.0000 0.0000  6 Co 2.13
Co: 0.0000 0.0000 0.5000  2 V 2.13
Co: 0.0000 0.5000 0.0000  2 V 2.13
Co: 0.5000 0.0000 0.0000  2 V 2.13
S: 0.5000 0.5000 0.5000  12 Co 3.01

E above lowest polymorph ... 0.973 eV per atom
Total DFT energy (no corrections) ... -5.594 eV per atom
Volume ... 15.362 Å³/atom
Formation energy (no corrections) ... 1318.6 meV per atom
Calculated density ... 5.62 g cm⁻³